# NaLaY2Hg

A relaxed NaLaY2Hg crystal (PBE, Alexandria via LeMat-Bulk).

Results
The energy of formation comes out at 0.8831 eV/atom. For the energy relative to the lowest polymorph listed for this composition, the calculation gives 370.9 meV per atom. The size of the total moment comes out at 0.0 μB per formula unit. The final energy is -3.0122 eV per atom. For the density of states at the Fermi level, the calculation gives 2.816 states/eV/f.u.

abc: 5.6950 5.6950 5.7221
angles: 90.00 90.00 90.00
Closest atoms and distances in Å follow each position.
Space group P4/mmm (No. 123)
Asymmetric unit:
Na: 0.0000 0.0000 0.0000  2 La 2.86
La: 0.0000 0.0000 0.5000  4 Y 2.85, 2 Na 2.86
Y: 0.0000 0.5000 0.5000  2 La 2.85
Hg: 0.5000 0.5000 0.0000  4 Na 4.03, 8 Y 4.04

# CaTcW

A relaxed CaTcW crystal (PBE, Alexandria via LeMat-Bulk).

Results
The energy of formation comes out at 0.4083 eV/atom. For the energy relative to the lowest polymorph listed for this composition, the calculation gives 0.0 meV per atom. The size of the total moment comes out at 0.0 μB per formula unit. The final energy is -8.0320 eV per atom. For the density of states at the Fermi level, the calculation gives 2.955 states/eV/f.u.

abc: 3.2134 3.2134 11.4631
angles: 90.00 90.00 90.00
Closest atoms and distances in Å follow each position.
Space group I4mm (No. 107)
Asymmetric unit:
Ca: 0.0000 0.0000 0.0000  4 Tc 3.15, 4 Ca 3.21, 5 W 3.24-3.43
Tc: 0.0000 0.0000 0.3092  4 W 2.59
W: 0.0000 0.0000 0.7010  4 Tc 2.59

# ThHBr2

A relaxed ThHBr2 crystal (PBE, Alexandria via LeMat-Bulk).

Results
The size of the total moment comes out at 1.0 μB per formula unit. The final energy is -4.7242 eV per atom. For the density of states at the Fermi level, the calculation gives 1.583 states/eV/f.u.

abc: 3.9303 3.9303 23.5920
angles: 90.00 90.00 120.00
Closest atoms and distances in Å follow each position.
Space group R3m (No. 160, hexagonal axes)
Asymmetric unit:
Th: 0.0000 0.0000 0.0000  3 H 2.27
H: 0.0000 0.0000 0.3333  3 Th 2.27
Br: 0.0000 0.0000 0.5768  3 H 3.11, 3 Th 3.11
Br: 0.0000 0.0000 0.7565  3 Th 3.11, 3 H 3.11

# ZrAlHg2

A relaxed ZrAlHg2 crystal (PBE, Alexandria via LeMat-Bulk).

Results
The energy of formation comes out at -0.0902 eV/atom. The size of the total moment comes out at 0.0 μB per formula unit. The final energy is -3.3137 eV per atom. For the density of states at the Fermi level, the calculation gives 1.237 states/eV/f.u.

abc: 3.2448 3.2448 7.9191
angles: 90.00 90.00 90.00
Closest atoms and distances in Å follow each position.
Space group P4mm (No. 99)
Asymmetric unit:
Zr: 0.0000 0.0000 0.0000  4 Al 2.90, 4 Hg 3.13, 4 Zr 3.24
Al: 0.5000 0.5000 0.2245  4 Zr 2.90, 4 Hg 2.92, 4 Al 3.24
Hg: 0.0000 0.0000 0.4535  4 Al 2.92, 8 Hg 3.18-3.24
Hg: 0.5000 0.5000 0.7313  4 Zr 3.13, 8 Hg 3.18-3.24

# Sr2CuNi2

A relaxed Sr2CuNi2 crystal (PBE, Alexandria via LeMat-Bulk).

Results
The energy of formation comes out at -0.0707 eV/atom. The size of the total moment comes out at 0.0 μB per formula unit. The final energy is -3.8752 eV per atom. For the density of states at the Fermi level, the calculation gives 3.046 states/eV/f.u.

abc: 4.1622 4.1622 26.8528
angles: 90.00 90.00 120.00
Closest atoms and distances in Å follow each position.
Space group R-3m (No. 166, hexagonal axes)
Asymmetric unit:
Sr: 0.0000 0.0000 0.0763  1 Ni 2.78
Cu: 0.0000 0.0000 0.5000  6 Ni 2.43
Ni: 0.0000 0.0000 0.1797  3 Cu 2.43, 3 Ni 2.50

# Pm3GaTe4

A relaxed Pm3GaTe4 crystal (PBE, Alexandria via LeMat-Bulk).

Results
The value obtained for the formation energy from raw total energies is -1.002 eV per atom. The size of the total moment comes out at 0.0 μB per formula unit. The final energy is -4.7330 eV per atom. For the density of states at the Fermi level, the calculation gives 3.894 states/eV/f.u.

abc: 6.2660 10.3993 9.4855
angles: 90.00 90.00 90.00
Closest atoms and distances in Å follow each position.
Space group Pmmn (No. 59, origin choice 2)
Asymmetric unit:
Pm: 0.2500 0.0027 0.1638  5 Te 3.07-3.15
Pm: 0.2500 0.7500 0.6811  5 Te 3.10-3.17
Ga: 0.2500 0.2500 0.6604  5 Te 3.00-3.13
Te: 0.2500 0.0111 0.8377  1 Ga 3.00, 4 Pm 3.09-3.14
Te: 0.2500 0.2500 0.3396  1 Ga 3.04, 4 Pm 3.07-3.14
Te: 0.2500 0.7500 0.3472  2 Ga 3.13, 3 Pm 3.15-3.17

# PaTa2N

A relaxed PaTa2N crystal (PBE, Alexandria via LeMat-Bulk).

Results
The value obtained for the formation energy from raw total energies is -0.095 eV per atom. The size of the total moment comes out at 0.0 μB per formula unit. The final energy is -10.4769 eV per atom. For the density of states at the Fermi level, the calculation gives 3.023 states/eV/f.u.

abc: 3.1084 3.1084 24.7419
angles: 90.00 90.00 120.00
Closest atoms and distances in Å follow each position.
Space group R-3m (No. 166, hexagonal axes)
Asymmetric unit:
Pa: 0.0000 0.0000 0.0000  2 Ta 2.90, 6 Pa 3.11
Ta: 0.0000 0.0000 0.1173  3 N 2.17
N: 0.0000 0.0000 0.5000  6 Ta 2.17

# Th12AlFe6

A relaxed Th12AlFe6 crystal (PBE, Alexandria via LeMat-Bulk).

Results
The energy of formation comes out at -0.0519 eV/atom. The size of the total moment comes out at 0.0 μB per formula unit. The final energy is -7.6075 eV per atom. For the density of states at the Fermi level, the calculation gives 22.600 states/eV/f.u.

abc: 9.8237 9.8237 9.8237
angles: 90.00 90.00 90.00
Closest atoms and distances in Å follow each position.
Space group Im-3 (No. 204)
Asymmetric unit:
Th: 0.0000 0.3114 0.1801  1 Fe 2.55
Al: 0.0000 0.0000 0.0000  12 Th 3.53
Fe: 0.0000 0.1408 0.5000  2 Th 2.55, 1 Fe 2.77

# NaScSn

A relaxed NaScSn crystal (PBE, Alexandria via LeMat-Bulk).

Results
The energy of formation comes out at -0.3103 eV/atom. The size of the total moment comes out at 0.0 μB per formula unit. The final energy is -4.1948 eV per atom. For the density of states at the Fermi level, the calculation gives 2.530 states/eV/f.u.

abc: 3.6398 4.6792 17.5870
angles: 90.00 90.00 90.00
Closest atoms and distances in Å follow each position.
Space group Immm (No. 71)
Asymmetric unit:
Na: 0.0000 0.0000 0.0000  4 Na 2.96, 4 Sn 3.13
Na: 0.0000 0.0000 0.5000  4 Na 2.96
Sc: 0.0000 0.5000 0.1878  5 Sn 2.95-3.06
Sn: 0.0000 0.5000 0.3553  5 Sc 2.95-3.06, 2 Na 3.13

# In2Se

A relaxed In2Se crystal (PBE, Alexandria via LeMat-Bulk).

Results
The value obtained for the formation energy from raw total energies is -0.180 eV per atom. For the energy relative to the lowest polymorph listed for this composition, the calculation gives 123.8 meV per atom. The size of the total moment comes out at 0.0 μB per formula unit. The final energy is -3.1669 eV per atom. For the density of states at the Fermi level, the calculation gives 0.707 states/eV/f.u.

abc: 3.7460 3.7460 25.6308
angles: 90.00 90.00 90.00
Closest atoms and distances in Å follow each position.
Space group I4_1/amd (No. 141, origin choice 2)
Asymmetric unit:
In: 0.0000 0.2500 0.3094  4 Se 3.14, 1 In 3.36
Se: 0.0000 0.2500 0.8750  8 In 3.14

# GeSbPb2

A relaxed GeSbPb2 crystal (PBE, Alexandria via LeMat-Bulk).

Results
The value obtained for the formation energy from raw total energies is 0.305 eV per atom. For the energy relative to the lowest polymorph listed for this composition, the calculation gives 120.7 meV per atom. The size of the total moment comes out at 0.0 μB per formula unit. The final energy is -3.7337 eV per atom. For the density of states at the Fermi level, the calculation gives 2.547 states/eV/f.u.

abc: 3.3106 3.3106 36.3933
angles: 90.00 90.00 120.00
Closest atoms and distances in Å follow each position.
Space group R-3m (No. 166, hexagonal axes)
Asymmetric unit:
Ge: 0.0000 0.0000 0.0000  2 Pb 3.02, 6 Ge 3.31
Sb: 0.0000 0.0000 0.5000  6 Sb 3.31, 6 Pb 3.59
Pb: 0.0000 0.0000 0.0830  1 Ge 3.02, 6 Pb 3.31

# Ac2GaFePt6

A relaxed Ac2GaFePt6 crystal (PBE, Alexandria via LeMat-Bulk).

Results
The energy of formation comes out at -0.7764 eV/atom. The size of the total moment comes out at 3.4 μB per formula unit. The final energy is -6.3716 eV per atom. For the density of states at the Fermi level, the calculation gives 5.936 states/eV/f.u.

abc: 12.3826 5.5719 8.5113
angles: 90.00 133.27 90.00
Closest atoms and distances in Å follow each position.
Space group C2/m (No. 12)
Asymmetric unit:
Ac: 0.2479 0.0000 0.2059  9 Pt 3.19-3.57
Ga: 0.0000 0.0000 0.5000  6 Pt 2.55-2.56
Fe: 0.0000 0.5000 0.0000  6 Pt 2.53-2.55
Pt: 0.0068 0.2498 0.2545  1 Fe 2.53, 1 Ga 2.56, 4 Pt 2.75-2.79
Pt: 0.2505 0.0000 0.6108  1 Fe 2.55, 1 Ga 2.55, 4 Pt 2.75-2.77

- The highest final energy belongs to which entry?
  NaLaY2Hg